(1)
Density functional theory data (PBE-GGA) for crystalline TeC3 at its relaxed geometry.

abc: 6.7358 6.7358 6.7358
angles: 157.91 96.98 87.25
Last column: magnetic moment on the atom in μB.
Fractional positions:
C: 0.6696 0.6696 0.0000  0.06
C: 0.8304 0.8304 0.0000  0.06
Te: 0.2500 0.7500 0.5000  0.00
C: 0.7500 0.2500 0.5000  0.01

Computed properties:
Formation energy (no corrections) = 2.12 eV/atom
E above lowest polymorph = 1151 meV per atom
Crystal system = orthorhombic
Space-group type = Immm, No. 71

(2)
Density functional theory data (PBE-GGA) for crystalline Ac6Ge2Te3Cl at its relaxed geometry.

abc: 4.6307 9.3563 10.4816
angles: 104.38 102.76 90.00
Fractional positions:
Cl: 0.5000 0.0000 0.0000
Ge: 0.8354 0.6725 0.6709
Ac: 0.9908 0.7473 0.9816
Ac: 0.0092 0.2527 0.0184
Te: 0.1631 0.8328 0.3263
Ac: 0.6681 0.1040 0.3361
Te: 0.5000 0.5000 0.0000
Ac: 0.3270 0.4324 0.6539
Te: 0.8369 0.1672 0.6737
Ac: 0.3319 0.8960 0.6639
Ac: 0.6730 0.5676 0.3461
Ge: 0.1646 0.3275 0.3291

Computed properties:
Formation energy (no corrections) = -1.32 eV/atom
Crystal system = monoclinic
Space-group type = C2/m, No. 12

(3)
Density functional theory data (PBE-GGA) for crystalline Fe2Sb at its relaxed geometry.

abc: 5.0897 5.0897 5.0897
angles: 60.00 60.00 60.00
Last column: magnetic moment on the atom in μB.
Fractional positions:
Sb: 0.5000 0.5000 0.5000  -0.04
Fe: 0.1250 0.1250 0.1250  2.58
Fe: 0.6250 0.1250 0.1250  2.58
Sb: 0.7500 0.7500 0.7500  -0.04
Fe: 0.1250 0.1250 0.6250  2.58
Fe: 0.1250 0.6250 0.1250  2.58

Computed properties:
Formation energy (no corrections) = 0.25 eV/atom
Crystal system = cubic
Space-group type = Fd-3m, No. 227

(4)
Density functional theory data (PBE-GGA) for crystalline SmSi2Pt4 at its relaxed geometry.

abc: 4.1298 4.1269 7.2866
angles: 106.45 90.00 90.00
Fractional positions:
Pt: 0.5000 0.1746 0.3492
Sm: 0.0000 0.0000 0.0000
Si: 0.5000 0.5854 0.1708
Si: 0.5000 0.4146 0.8292
Pt: 0.5000 0.8254 0.6508
Pt: 0.0000 0.6720 0.3440
Pt: 0.0000 0.3280 0.6560

Computed properties:
Formation energy (no corrections) = -0.86 eV/atom
E above lowest polymorph = 19 meV per atom
Crystal system = orthorhombic
Space-group type = Cmmm, No. 65

(5)
Density functional theory data (PBE-GGA) for crystalline Y4AlCu3 at its relaxed geometry.

abc: 3.7119 4.4837 10.8544
angles: 90.00 90.00 90.00
Fractional positions:
Cu: 0.0000 0.0000 0.4333
Y: 0.0000 0.0000 0.1530
Y: 0.5000 0.0000 0.6378
Y: 0.0000 0.5000 0.8430
Cu: 0.0000 0.5000 0.5688
Al: 0.5000 0.5000 0.0684
Cu: 0.5000 0.0000 0.9307
Y: 0.5000 0.5000 0.3650

Computed properties:
Crystal system = orthorhombic
Formation energy from the elements = -0.2690 eV per atom
Space-group type = Pmm2, No. 25

(6)
Density functional theory data (PBE-GGA) for crystalline AcPrAs2O8 at its relaxed geometry.

abc: 5.2684 5.2684 7.1127
angles: 111.74 111.74 90.00
Fractional positions:
As: 0.2500 0.7500 0.5000
Pr: 0.0000 0.0000 0.0000
O: 0.1809 0.5617 0.8518
O: 0.0508 0.4254 0.3446
O: 0.4383 0.3291 0.1482
O: 0.2938 0.9191 0.3446
Ac: 0.7500 0.2500 0.5000
O: 0.0809 0.9492 0.6554
O: 0.6709 0.2901 0.8518
O: 0.5746 0.7062 0.6554
O: 0.7099 0.8191 0.1482
As: 0.5000 0.5000 0.0000

Computed properties:
Formation energy (no corrections) = -2.33 eV/atom
Crystal system = tetragonal
Space-group type = I-4, No. 82

(7)
Density functional theory data (PBE-GGA) for crystalline La3Nd2Zn2 at its relaxed geometry.

abc: 3.8727 6.7877 9.6569
angles: 114.76 90.00 106.58
Fractional positions:
Zn: 0.1758 0.3517 0.2318
La: 0.6070 0.2141 0.4378
Zn: 0.8242 0.6483 0.7682
Nd: 0.1582 0.3164 0.8218
La: 0.5000 0.0000 0.0000
Nd: 0.8418 0.6836 0.1782
La: 0.3930 0.7859 0.5622

Computed properties:
E above lowest polymorph = 0 meV per atom
Crystal system = monoclinic
Formation energy from the elements = -0.1305 eV per atom
Space-group type = C2/m, No. 12

(8)
Density functional theory data (PBE-GGA) for crystalline DyTmZr2 at its relaxed geometry.

abc: 3.9139 3.9139 6.8500
angles: 90.00 90.00 90.00
Fractional positions:
Dy: 0.5000 0.5000 0.5000
Tm: 0.5000 0.5000 0.0000
Zr: 0.0000 0.0000 0.2293
Zr: 0.0000 0.0000 0.7707

Computed properties:
E above lowest polymorph = 141 meV per atom
Crystal system = tetragonal
Formation energy from the elements = 0.2122 eV per atom
Space-group type = P4/mmm, No. 123

(9)
Density functional theory data (PBE-GGA) for crystalline ZrHgBr at its relaxed geometry.

abc: 3.4488 3.4477 15.7147
angles: 90.00 90.00 120.01
Last column: magnetic moment on the atom in μB.
Fractional positions:
Zr: 0.2794 0.5587 0.1500  0.10
Zr: 0.2794 0.5587 0.8500  0.10
Hg: 0.2694 0.5388 0.5000  0.00
Br: 0.6127 0.2254 0.2705  0.00
Hg: 0.6131 0.2261 0.0000  0.02
Br: 0.6127 0.2254 0.7295  0.00

Computed properties:
Formation energy (no corrections) = -0.59 eV/atom
E above lowest polymorph = 0 meV per atom
Crystal system = orthorhombic
Space-group type = Amm2, No. 38

(10)
Density functional theory data (PBE-GGA) for crystalline Al2HgBr at its relaxed geometry.

abc: 3.7152 3.7145 6.9262
angles: 90.00 90.00 90.00
Fractional positions:
Al: 0.0000 0.0000 0.5360
Al: 0.0000 0.0000 0.9640
Hg: 0.5000 0.5000 0.7500
Br: 0.5000 0.5000 0.2500

Computed properties:
Formation energy (no corrections) = 0.14 eV/atom
E above lowest polymorph = 151 meV per atom
Crystal system = tetragonal
Space-group type = P4/mmm, No. 123

(11)
Density functional theory data (PBE-GGA) for crystalline CaAlIrO6 at its relaxed geometry.

abc: 5.0589 5.0589 10.1727
angles: 90.00 90.00 120.00
Fractional positions:
O: 0.6336 0.9975 0.8517
O: 0.3664 0.3639 0.3517
O: 0.0025 0.3664 0.6483
Ir: 0.6667 0.3333 0.7500
O: 0.9975 0.3639 0.1483
O: 0.3664 0.0025 0.1483
Al: 0.6667 0.3333 0.2500
O: 0.3639 0.9975 0.6483
Ca: 0.0000 0.0000 0.0000
O: 0.6361 0.0025 0.3517
O: 0.3639 0.3664 0.8517
O: 0.9975 0.6336 0.3517
Ir: 0.3333 0.6667 0.2500
Ca: 0.0000 0.0000 0.5000
O: 0.6336 0.6361 0.6483
O: 0.6361 0.6336 0.1483
Al: 0.3333 0.6667 0.7500
O: 0.0025 0.6361 0.8517

Computed properties:
Formation energy (no corrections) = -1.78 eV/atom
Crystal system = trigonal
Space-group type = P-31c, No. 163

(12)
Density functional theory data (PBE-GGA) for crystalline LiPr4Ga2 at its relaxed geometry.

abc: 5.2025 5.2025 9.2936
angles: 73.75 73.75 60.00
Fractional positions:
Li: 0.0000 0.0000 0.0000
Ga: 0.0916 0.0916 0.7251
Pr: 0.7886 0.7886 0.6343
Pr: 0.2114 0.2114 0.3657
Pr: 0.3746 0.3746 0.8762
Ga: 0.9084 0.9084 0.2749
Pr: 0.6254 0.6254 0.1238

Computed properties:
E above lowest polymorph = 99 meV per atom
Crystal system = trigonal
Formation energy from the elements = -0.1870 eV per atom
Space-group type = R-3m, No. 166

(13)
Density functional theory data (PBE-GGA) for crystalline MnFeP2S at its relaxed geometry.

abc: 4.2519 4.2519 4.4713
angles: 90.00 90.00 90.00
Last column: magnetic moment on the atom in μB.
Fractional positions:
Fe: 0.5000 0.5000 0.5000  -0.07
P: 0.5000 0.0000 0.0000  0.01
Mn: 0.0000 0.0000 0.0000  0.19
P: 0.0000 0.5000 0.0000  0.01
S: 0.0000 0.0000 0.5000  -0.02

Computed properties:
Formation energy (no corrections) = 0.95 eV/atom
E above lowest polymorph = 5 meV per atom
Crystal system = tetragonal
Space-group type = P4/mmm, No. 123

(14)
Density functional theory data (PBE-GGA) for crystalline HfCd6O8 at its relaxed geometry.

abc: 6.7356 6.7356 6.7356
angles: 60.00 60.00 60.00
Fractional positions:
O: 0.2216 0.7784 0.7784
Cd: 0.5000 0.5000 0.0000
Cd: 0.0000 0.0000 0.5000
O: 0.2216 0.7784 0.2216
Cd: 0.0000 0.5000 0.5000
O: 0.7500 0.7500 0.7500
O: 0.7784 0.7784 0.2216
Cd: 0.5000 0.0000 0.0000
Cd: 0.0000 0.5000 0.0000
O: 0.7784 0.2216 0.7784
O: 0.2216 0.2216 0.7784
O: 0.7784 0.2216 0.2216
O: 0.2500 0.2500 0.2500
Cd: 0.5000 0.0000 0.5000
Hf: 0.0000 0.0000 0.0000

Computed properties:
Formation energy (no corrections) = -1.47 eV/atom
Crystal system = cubic
Space-group type = Fm-3m, No. 225

(15)
Density functional theory data (PBE-GGA) for crystalline Pm12Ho3Tm at its relaxed geometry.

abc: 5.1224 5.1224 20.4373
angles: 90.00 90.00 90.00
Fractional positions:
Pm: 0.0000 0.5000 0.8756
Pm: 0.5000 0.0000 0.8756
Pm: 0.5000 0.5000 0.5000
Tm: 0.0000 0.0000 0.0000
Pm: 0.0000 0.5000 0.1244
Pm: 0.5000 0.5000 0.7506
Pm: 0.5000 0.0000 0.6253
Ho: 0.0000 0.0000 0.7505
Ho: 0.0000 0.0000 0.2495
Pm: 0.5000 0.0000 0.3747
Pm: 0.0000 0.5000 0.6253
Ho: 0.0000 0.0000 0.5000
Pm: 0.5000 0.5000 0.2494
Pm: 0.5000 0.5000 0.0000
Pm: 0.5000 0.0000 0.1244
Pm: 0.0000 0.5000 0.3747

Computed properties:
Crystal system = tetragonal
Formation energy from the elements = 0.0151 eV per atom
Space-group type = P4/mmm, No. 123

(16)
Density functional theory data (PBE-GGA) for crystalline Ni2RuBr at its relaxed geometry.

abc: 4.0831 2.8726 5.2361
angles: 105.93 90.00 90.00
Fractional positions:
Ni: 0.0000 0.9462 0.0192
Ni: 0.5000 0.0799 0.2826
Br: 0.5000 0.8175 0.7610
Ru: 0.0000 0.6564 0.4372

Computed properties:
Formation energy (no corrections) = 0.63 eV/atom
E above lowest polymorph = 148 meV per atom
Crystal system = orthorhombic
Space-group type = Amm2, No. 38

(17)
Density functional theory data (PBE-GGA) for crystalline TcSb2Se at its relaxed geometry.

abc: 3.3492 5.1790 4.8580
angles: 90.00 90.00 90.00
Last column: magnetic moment on the atom in μB.
Fractional positions:
Se: 0.5000 0.0000 0.5000  -0.01
Sb: 0.5000 0.5000 0.0000  -0.01
Sb: 0.0000 0.0000 0.0000  -0.01
Tc: 0.0000 0.5000 0.5000  0.97

Computed properties:
Formation energy (no corrections) = 0.59 eV/atom
Crystal system = orthorhombic
Space-group type = Pmmm, No. 47

(18)
Density functional theory data (PBE-GGA) for crystalline AlRuBr4 at its relaxed geometry.

abc: 6.2437 6.2437 6.2437
angles: 60.00 60.00 60.00
Last column: magnetic moment on the atom in μB.
Fractional positions:
Br: 0.3759 0.8723 0.3759  -0.04
Br: 0.3759 0.3759 0.8723  -0.04
Br: 0.3759 0.3759 0.3759  -0.04
Al: 0.0000 0.0000 0.0000  0.00
Br: 0.8723 0.3759 0.3759  -0.04
Ru: 0.7500 0.7500 0.7500  2.58

Computed properties:
Formation energy (no corrections) = 1.16 eV/atom
Crystal system = cubic
Space-group type = F-43m, No. 216

(19)
Density functional theory data (PBE-GGA) for crystalline Mn4ZnBr at its relaxed geometry.

abc: 4.9698 4.9698 4.9698
angles: 60.00 60.00 60.00
Last column: magnetic moment on the atom in μB.
Fractional positions:
Mn: 0.3767 0.8700 0.3767  2.14
Br: 0.0000 0.0000 0.0000  0.01
Zn: 0.7500 0.7500 0.7500  -0.12
Mn: 0.3767 0.3767 0.3767  2.14
Mn: 0.8700 0.3767 0.3767  2.14
Mn: 0.3767 0.3767 0.8700  2.14

Computed properties:
Formation energy (no corrections) = 0.76 eV/atom
Crystal system = cubic
Space-group type = F-43m, No. 216

(20)
Density functional theory data (PBE-GGA) for crystalline PrNd3SmEr at its relaxed geometry.

abc: 5.1424 8.1706 10.3305
angles: 90.00 90.00 108.34
Fractional positions:
Nd: 0.6666 0.3333 0.0004
Pr: 0.4984 0.9968 0.7500
Er: 0.8330 0.6659 0.7500
Sm: 0.0000 0.0000 0.0000
Sm: 0.0000 0.0000 0.5000
Er: 0.1670 0.3341 0.2500
Nd: 0.8320 0.6640 0.2500
Nd: 0.3334 0.6667 0.5004
Pr: 0.5016 0.0032 0.2500
Nd: 0.1680 0.3360 0.7500
Nd: 0.6666 0.3333 0.4996
Nd: 0.3334 0.6667 0.9996

Computed properties:
Crystal system = orthorhombic
Formation energy from the elements = 0.0159 eV per atom
Space-group type = Cmcm, No. 63

(21)
Density functional theory data (PBE-GGA) for crystalline TcPbBr2 at its relaxed geometry.

abc: 5.1822 5.1822 5.1822
angles: 60.00 60.00 60.00
Last column: magnetic moment on the atom in μB.
Fractional positions:
Pb: 0.5000 0.5000 0.5000  -0.06
Br: 0.7500 0.7500 0.7500  0.04
Br: 0.2500 0.2500 0.2500  0.04
Tc: 0.0000 0.0000 0.0000  2.85

Computed properties:
Formation energy (no corrections) = 0.54 eV/atom
E above lowest polymorph = 525 meV per atom
Crystal system = cubic
Space-group type = Fm-3m, No. 225

(22)
Density functional theory data (PBE-GGA) for crystalline ZrCoSe2 at its relaxed geometry.

abc: 7.2097 7.2097 7.2097
angles: 152.36 151.48 40.14
Last column: magnetic moment on the atom in μB.
Fractional positions:
Se: 0.7750 0.2750 0.5000  0.03
Co: 0.2717 0.7717 0.5000  0.89
Zr: 0.4296 0.4296 0.0000  -0.11
Se: 0.0237 0.0237 0.0000  0.00

Computed properties:
Formation energy (no corrections) = -0.71 eV/atom
E above lowest polymorph = 40 meV per atom
Crystal system = orthorhombic
Space-group type = Imm2, No. 44

(23)
Density functional theory data (PBE-GGA) for crystalline Ce3RuPt2 at its relaxed geometry.

abc: 3.4415 5.0535 8.5984
angles: 107.09 101.54 90.00
Last column: magnetic moment on the atom in μB.
Fractional positions:
Ce: 0.0000 0.5000 0.0000  0.13
Pt: 0.3421 0.3421 0.6841  -0.01
Ce: 0.8329 0.8329 0.6659  0.51
Ce: 0.1671 0.1671 0.3341  0.51
Pt: 0.6579 0.6579 0.3159  -0.01
Ru: 0.0000 0.0000 0.0000  -0.05

Computed properties:
Crystal system = orthorhombic
Formation energy from the elements = -0.6354 eV per atom
Space-group type = Immm, No. 71

(24)
Density functional theory data (PBE-GGA) for crystalline CaCu4Se at its relaxed geometry.

abc: 5.1391 5.1391 5.1391
angles: 60.00 60.00 60.00
Fractional positions:
Cu: 0.3752 0.8742 0.3752
Ca: 0.0000 0.0000 0.0000
Cu: 0.3752 0.3752 0.8742
Se: 0.7500 0.7500 0.7500
Cu: 0.3752 0.3752 0.3752
Cu: 0.8742 0.3752 0.3752

Computed properties:
Formation energy (no corrections) = -0.20 eV/atom
Crystal system = cubic
Space-group type = F-43m, No. 216

(25)
Density functional theory data (PBE-GGA) for crystalline CePuTlPd at its relaxed geometry.

abc: 5.2562 5.2562 5.2562
angles: 60.00 60.00 60.00
Last column: magnetic moment on the atom in μB.
Fractional positions:
Pu: 0.0000 0.0000 0.0000  5.39
Pd: 0.7500 0.7500 0.7500  -0.04
Ce: 0.5000 0.5000 0.5000  0.67
Tl: 0.2500 0.2500 0.2500  -0.01

Computed properties:
Crystal system = cubic
Formation energy from the elements = -0.2003 eV per atom
Space-group type = F-43m, No. 216